(1)
6
Lattice="-2.6361 2.9976 -1.9272 3.2662 -1.8967 -2.3201 -5.1453 -6.0185 -2.3234" Properties=species:S:1:pos:R:3 comment="PBE SrIrF, optimized geometry" spacegroup=P6_3/mmc e_form_raw_ev_per_atom=-0.61 polymorph_energy_ev_per_fu=4.11 pbc="T T T"
F -1.2863 -1.5046 -0.5809
F -3.8590 -4.5139 -1.7426
Sr -4.5277 -3.1477 -3.8007
Sr 0.0125 -1.7699 -2.7700
Ir -2.5727 -3.0092 -1.1617
Ir 0.0000 0.0000 0.0000

(2)
5
Lattice="-1.4233 3.2711 2.3961 -6.4163 -4.8031 2.7456 2.4184 -1.3534 3.2842" Properties=species:S:1:pos:R:3 comment="PBE SrTcIrF2, optimized geometry" spacegroup=P4/mmm e_form_raw_ev_per_atom=-0.37 pbc="T T T"
F -0.7117 1.6355 1.1980
F 1.2092 -0.6767 1.6421
Tc -3.2082 -2.4015 1.3728
Sr 0.0000 0.0000 0.0000
Ir -2.7106 -1.4427 4.2129

(3)
5
Lattice="-2.4881 -0.1922 4.1852 5.9004 -1.6753 3.4308 0.9038 4.7284 0.7545" Properties=species:S:1:pos:R:3 comment="PBE SrZr2IrF, optimized geometry" spacegroup=P4/mmm e_form_raw_ev_per_atom=-0.06 pbc="T T T"
Zr -1.2440 -0.0961 2.0926
Zr 0.4519 2.3642 0.3773
Ir 0.0000 0.0000 0.0000
Sr 2.1580 1.4304 4.1853
F 2.9502 -0.8376 1.7154

(4)
5
Lattice="4.2870 0.0000 0.0000 0.0000 4.2870 0.0000 0.0000 0.0000 4.2870" Properties=species:S:1:pos:R:3 comment="PBE TaIrF3, optimized geometry" spacegroup=Pm-3m e_form_raw_ev_per_atom=0.36 polymorph_energy_ev_per_fu=4.77 pbc="T T T"
F 0.0000 0.0000 2.1435
F 2.1435 0.0000 0.0000
F 0.0000 2.1435 0.0000
Ta 2.1435 2.1435 2.1435
Ir 0.0000 0.0000 0.0000

(5)
5
Lattice="4.8833 0.0000 0.0000 0.0000 4.8833 0.0000 0.0000 0.0000 4.8833" Properties=species:S:1:pos:R:3 comment="PBE Ta3IrF, optimized geometry" spacegroup=Pm-3m e_form_raw_ev_per_atom=1.03 polymorph_energy_ev_per_fu=4.82 pbc="T T T"
F 2.4416 2.4416 2.4416
Ir 0.0000 0.0000 0.0000
Ta 0.0000 0.0000 2.4416
Ta 2.4416 0.0000 0.0000
Ta 0.0000 2.4416 0.0000

(6)
5
Lattice="4.1311 0.0000 0.0000 0.0000 4.1311 0.0000 0.0000 0.0000 4.1311" Properties=species:S:1:pos:R:3 comment="PBE TaIrF3, optimized geometry" spacegroup=Pm-3m e_form_raw_ev_per_atom=-0.60 polymorph_energy_ev_per_fu=0.00 pbc="T T T"
F 2.0655 0.0000 0.0000
F 0.0000 0.0000 2.0655
F 0.0000 2.0655 0.0000
Ta 0.0000 0.0000 0.0000
Ir 2.0655 2.0655 2.0655

(7)
8
Lattice="-0.5881 -7.3710 -3.4262 4.7820 -3.0916 5.8302 0.3606 -5.6512 2.4035" Properties=species:S:1:pos:R:3 comment="PBE TaIr2F, optimized geometry" spacegroup=I-42d e_form_raw_ev_per_atom=-0.35 polymorph_energy_ev_per_fu=0.00 pbc="T T T"
Ir 1.5185 -7.9520 2.3083
Ir 4.2647 -13.6030 4.3019
Ir 3.0453 -3.7659 4.0491
Ir 0.2804 -6.9066 -1.0443
Ta 0.0000 0.0000 0.0000
Ta 0.9347 -9.1267 0.0896
F 3.6198 -6.9870 4.7178
F 2.0969 -5.2313 1.2020

(8)
4
Lattice="-0.2598 -4.1028 1.4813 -3.8799 -1.6862 1.0943 -1.8097 -3.1084 -2.4815" Properties=species:S:1:pos:R:3 comment="PBE TaIr2F, optimized geometry" spacegroup=Fm-3m e_form_raw_ev_per_atom=-0.22 polymorph_energy_ev_per_fu=0.53 pbc="T T T"
Ta -2.9747 -4.4487 0.0470
Ir -1.4874 -2.2244 0.0235
Ir -4.4621 -6.6731 0.0706
F 0.0000 0.0000 0.0000

Which formula does entry 6 have? TaIrF3